Entry 1:
HgPd: optimized geometry, PBE.

Values from the calculation:
Formation energy from the elements ... 1.02 eV per formula unit
Space-group type ... F-43m, No. 216

Cell: 4.337 4.337 4.337 Å, 60.00 60.00 60.00°
Positions (direct):
Pd 0.250 0.250 0.250
Hg 0.000 0.000 0.000

Entry 2:
Rb2PdI2F2: optimized geometry, PBE.

Values from the calculation:
Distance to the lowest polymorph of the same formula ... 0 meV/atom
Space-group type ... Pmm2, No. 25

Cell: 4.091 7.126 7.182 Å, 90.00 90.00 90.00°
Positions (direct):
I 0.000 0.749 0.242
I 0.000 0.251 0.242
Rb 0.500 0.000 0.590
Rb 0.500 0.500 0.877
F 0.000 0.211 0.779
F 0.000 0.789 0.779
Pd 0.000 0.000 0.990

Entry 3:
NaSiNi: optimized geometry, PBE.

Values from the calculation:
Total energy ... -3.0544 eV per atom
Space-group type ... F-43m, No. 216

Cell: 4.285 4.285 4.285 Å, 60.00 60.00 60.00°
Positions (direct):
Ni 0.250 0.250 0.250
Na 0.000 0.000 0.000
Si 0.750 0.750 0.750

Entry 4:
GdTa: optimized geometry, PBE.

Values from the calculation:
Formation energy from the elements ... 3.05 eV per formula unit
Distance to the lowest polymorph of the same formula ... 987 meV/atom
Space-group type ... Fm-3m, No. 225

Cell: 4.195 4.195 4.195 Å, 60.00 60.00 60.00°
Positions (direct):
Gd 0.000 0.000 0.000
Ta 0.500 0.500 0.500

Entry 5:
Ho2Sc2I2Br3N: optimized geometry, PBE.

Values from the calculation:
Total energy ... -5.2627 eV per atom
Space-group type ... C2/m, No. 12

Cell: 9.970 9.970 7.990 Å, 100.99 100.99 21.40°
Positions (direct):
Br 0.147 0.147 0.315
Br 0.500 0.500 0.500
Br 0.853 0.853 0.685
N 0.500 0.500 0.000
I 0.840 0.840 0.173
I 0.160 0.160 0.827
Ho 0.001 0.001 0.802
Ho 0.999 0.999 0.198
Sc 0.387 0.387 0.939
Sc 0.613 0.613 0.061

Entry 6:
Pm5GePb3: optimized geometry, PBE.

Values from the calculation:
Total energy ... -5.0508 eV per atom
Space-group type ... P6_3/mcm, No. 193

Cell: 9.615 9.615 6.693 Å, 90.00 90.00 120.00°
Positions (direct):
Pb 0.390 0.000 0.750
Pb 0.610 0.000 0.250
Pb 0.000 0.610 0.250
Pb 0.390 0.390 0.250
Pb 0.000 0.390 0.750
Pb 0.610 0.610 0.750
Ge 0.000 0.000 0.000
Ge 0.000 0.000 0.500
Pm 0.000 0.252 0.250
Pm 0.333 0.667 0.500
Pm 0.748 0.748 0.250
Pm 0.333 0.667 0.000
Pm 0.252 0.000 0.250
Pm 0.667 0.333 0.000
Pm 0.667 0.333 0.500
Pm 0.748 0.000 0.750
Pm 0.252 0.252 0.750
Pm 0.000 0.748 0.750

Entry 7:
Ag2PdAu: optimized geometry, PBE.

Values from the calculation:
Formation energy from the elements ... -0.24 eV per formula unit
Space-group type ... F-43m, No. 216

Cell: 4.584 4.584 4.584 Å, 60.00 60.00 60.00°
Positions (direct):
Pd 0.500 0.500 0.500
Au 0.250 0.250 0.250
Ag 0.750 0.750 0.750
Ag 0.000 0.000 0.000

Entry 8:
RbCu3GeTe4: optimized geometry, PBE.

Values from the calculation:
Distance to the lowest polymorph of the same formula ... 212 meV/atom
Space-group type ... P-43m, No. 215

Cell: 6.681 6.681 6.681 Å, 90.00 90.00 90.00°
Positions (direct):
Cu 0.500 0.000 0.000
Cu 0.000 0.000 0.500
Cu 0.000 0.500 0.000
Te 0.220 0.220 0.780
Te 0.780 0.780 0.780
Te 0.780 0.220 0.220
Te 0.220 0.780 0.220
Rb 0.500 0.500 0.500
Ge 0.000 0.000 0.000

Entry 9:
Pr2Te3: optimized geometry, PBE.

Values from the calculation:
Total energy ... -5.2324 eV per atom
Space-group type ... Fddd, No. 70

Cell: 15.039 14.348 7.856 Å, 79.42 69.69 30.90°
Positions (direct):
Te 0.421 0.914 0.580
Te 0.829 0.336 0.670
Te 0.999 0.501 0.501
Te 0.336 0.829 0.165
Te 0.251 0.749 0.749
Te 0.580 0.085 0.421
Te 0.914 0.421 0.085
Te 0.749 0.251 0.251
Te 0.501 0.999 0.999
Te 0.165 0.670 0.336
Te 0.670 0.165 0.829
Te 0.085 0.580 0.914
Pr 0.499 0.499 0.001
Pr 0.417 0.417 0.583
Pr 0.001 0.001 0.499
Pr 0.249 0.249 0.751
Pr 0.667 0.667 0.833
Pr 0.583 0.583 0.417
Pr 0.751 0.751 0.249
Pr 0.833 0.833 0.667

Entry 10:
NiI2: optimized geometry, PBE.

Values from the calculation:
Total energy ... -2.9775 eV per atom
Space-group type ... Cmc2_1, No. 36

Cell: 3.941 3.941 13.243 Å, 90.00 90.00 60.00°
Positions (direct):
I 0.501 0.501 0.614
I 0.166 0.166 0.887
I 0.499 0.499 0.114
I 0.834 0.834 0.387
Ni 0.832 0.832 0.000
Ni 0.168 0.168 0.500

Entry 11:
LaLuNb: optimized geometry, PBE.

Values from the calculation:
Formation energy from the elements ... 2.30 eV per formula unit
Distance to the lowest polymorph of the same formula ... 0 meV/atom
Space-group type ... F-43m, No. 216

Cell: 5.067 5.067 5.067 Å, 60.00 60.00 60.00°
Positions (direct):
Lu 0.750 0.750 0.750
La 0.250 0.250 0.250
Nb 0.000 0.000 0.000

Entry 12:
Nb2FeB: optimized geometry, PBE.

Values from the calculation:
Total energy ... -8.2541 eV per atom
Space-group type ... F-43m, No. 216

Cell: 4.248 4.248 4.248 Å, 60.00 60.00 60.00°
Positions (direct):
Nb 0.750 0.750 0.750
Nb 0.000 0.000 0.000
B 0.500 0.500 0.500
Fe 0.250 0.250 0.250

Entry 13:
CoSiB: optimized geometry, PBE.

Values from the calculation:
Distance to the lowest polymorph of the same formula ... 0 meV/atom
Space-group type ... F-43m, No. 216

Cell: 3.486 3.486 3.486 Å, 60.00 60.00 60.00°
Positions (direct):
Co 0.250 0.250 0.250
Si 0.750 0.750 0.750
B 0.000 0.000 0.000

Entry 14:
NbO4: optimized geometry, PBE.

Values from the calculation:
Distance to the lowest polymorph of the same formula ... 0 meV/atom
Space-group type ... P2/c, No. 13

Cell: 5.051 5.245 5.070 Å, 90.00 109.35 90.00°
Positions (direct):
O 0.251 0.461 0.540
O 0.749 0.539 0.460
O 0.145 0.996 0.559
O 0.251 0.539 0.040
O 0.145 0.004 0.059
O 0.855 0.996 0.941
O 0.855 0.004 0.441
O 0.749 0.461 0.960
Nb 0.000 0.343 0.750
Nb 0.000 0.657 0.250

Entry 15:
CsHfMg: optimized geometry, PBE.

Values from the calculation:
Distance to the lowest polymorph of the same formula ... 0 meV/atom
Space-group type ... F-43m, No. 216

Cell: 5.384 5.384 5.384 Å, 60.00 60.00 60.00°
Positions (direct):
Cs 0.250 0.250 0.250
Mg 0.750 0.750 0.750
Hf 0.000 0.000 0.000

Entry 16:
LaAlAgAu: optimized geometry, PBE.

Values from the calculation:
Distance to the lowest polymorph of the same formula ... 128 meV/atom
Space-group type ... F-43m, No. 216

Cell: 4.962 4.962 4.962 Å, 60.00 60.00 60.00°
Positions (direct):
Ag 0.500 0.500 0.500
La 0.250 0.250 0.250
Al 0.000 0.000 0.000
Au 0.750 0.750 0.750

Entry 17:
InCuTe2IrS: optimized geometry, PBE.

Values from the calculation:
Total energy ... -4.3739 eV per atom
Space-group type ... Cmcm, No. 63

Cell: 7.329 7.329 9.363 Å, 90.00 90.00 148.25°
Positions (direct):
Te 0.871 0.129 0.453
Te 0.129 0.871 0.953
Te 0.871 0.129 0.047
Te 0.129 0.871 0.547
S 0.571 0.429 0.250
S 0.429 0.571 0.750
In 0.235 0.765 0.250
In 0.765 0.235 0.750
Ir 0.500 0.500 0.500
Ir 0.500 0.500 0.000
Cu 0.994 0.006 0.250
Cu 0.006 0.994 0.750

Entry 18:
LaSi2AgAu: optimized geometry, PBE.

Values from the calculation:
Total energy ... -4.9504 eV per atom
Space-group type ... I-4m2, No. 119

Cell: 6.091 6.091 6.091 Å, 138.46 138.46 60.20°
Positions (direct):
Au 0.500 0.500 0.000
Si 0.639 0.139 0.500
Si 0.861 0.361 0.500
Ag 0.000 0.000 0.000
La 0.250 0.750 0.500

Entry 19:
ErH3: optimized geometry, PBE.

Values from the calculation:
Distance to the lowest polymorph of the same formula ... 401 meV/atom
Space-group type ... R-3c, No. 167

Cell: 6.115 6.115 6.115 Å, 44.20 44.20 44.20°
Positions (direct):
H 0.563 0.937 0.250
H 0.937 0.250 0.563
H 0.437 0.063 0.750
H 0.063 0.750 0.437
H 0.250 0.563 0.937
H 0.750 0.437 0.063
Er 0.000 0.000 0.000
Er 0.500 0.500 0.500

Entry 20:
TlAgTe: optimized geometry, PBE.

Values from the calculation:
Distance to the lowest polymorph of the same formula ... 335 meV/atom
Space-group type ... P6_3/mmc, No. 194

Cell: 5.327 5.327 6.688 Å, 90.00 90.00 120.00°
Positions (direct):
Te 0.333 0.667 0.250
Te 0.667 0.333 0.750
Tl 0.333 0.667 0.750
Tl 0.667 0.333 0.250
Ag 0.000 0.000 0.000
Ag 0.000 0.000 0.500